(P)
A relaxed Cs2Ge2Br5 crystal. Source: Alexandria, functional PBE.

Lattice parameters (Å, degrees): 9.323 8.384 8.462 90.00 90.00 90.00
Space group Amm2 (No. 38)
Symmetry-distinct sites (fractional):
Cs (0.000, 0.000, 0.000) (multiplicity 2)
Cs (0.500, 0.000, 0.002) (multiplicity 2)
Ge (0.196, 0.000, 0.478) (multiplicity 4)
Br (0.226, 0.227, 0.275) (multiplicity 8)
Br (0.500, 0.000, 0.529) (multiplicity 2)

(Q)
A relaxed Cs2Ge2Br5 crystal. Source: Alexandria, functional PBE.

Lattice parameters (Å, degrees): 16.319 6.155 8.153 90.00 113.70 90.00
Space group C2/m (No. 12)
Symmetry-distinct sites (fractional):
Cs (0.099, 0.000, 0.302) (multiplicity 4)
Ge (0.160, 0.500, 0.895) (multiplicity 4)
Br (0.000, 0.500, 0.000) (multiplicity 2)
Br (0.157, 0.500, 0.575) (multiplicity 4)
Br (0.161, 0.000, 0.906) (multiplicity 4)

The calculated energies rank the structures as follows, beginning with the most stable: (P), (Q).